{
  "formula": "TcPb2F8",
  "functional": "PBE",
  "state": "optimized geometry",
  "cell": [[4.445, 0.672, 1.825], [1.485, 6.485, 2.378], [0.497, 0.362, 7.038]],
  "species": ["Pb", "Pb", "Tc", "F", "F", "F", "F", "F", "F", "F", "F"],
  "fractional_positions": [[0.029, 0.656, 0.656], [0.971, 0.344, 0.344], [0.000, 0.000, 0.000], [0.014, 0.296, 0.939], [0.986, 0.061, 0.704], [0.471, 0.878, 0.878], [0.529, 0.122, 0.122], [0.014, 0.939, 0.296], [0.986, 0.704, 0.061], [0.647, 0.582, 0.582], [0.353, 0.418, 0.418]],
  "e_form_raw_mev_per_atom": -2304,
  "spacegroup": "C2/m",
  "crystal_system": "monoclinic"
}

{
  "formula": "TeP3",
  "functional": "PBE",
  "state": "optimized geometry",
  "cell": [[-2.773, 0.533, 1.891], [-1.822, -4.198, -1.815], [4.059, -2.582, 4.158]],
  "species": ["Te", "P", "P", "P"],
  "fractional_positions": [[0.906, 0.866, 0.446], [0.124, 0.324, 0.029], [0.577, 0.030, 0.956], [0.260, 0.282, 0.699]],
  "e_form_raw_mev_per_atom": 252,
  "spacegroup": "P1",
  "dos_at_fermi_per_ev_atom": 0.25,
  "crystal_system": "triclinic"
}

{
  "formula": "Tb3Dy6HoTm2",
  "functional": "PBE",
  "state": "optimized geometry",
  "cell": [[-4.395, 1.753, -3.864], [-1.274, -0.758, 5.926], [4.534, 10.696, 1.298]],
  "species": ["Tb", "Tb", "Tb", "Dy", "Dy", "Dy", "Dy", "Dy", "Dy", "Ho", "Tm", "Tm"],
  "fractional_positions": [[0.167, 0.833, 0.500], [0.833, 0.167, 0.500], [0.500, 0.500, 0.500], [0.917, 0.583, 0.752], [0.750, 0.750, 0.248], [0.083, 0.417, 0.248], [0.583, 0.917, 0.752], [0.250, 0.250, 0.752], [0.417, 0.083, 0.248], [0.000, 0.000, 0.000], [0.333, 0.667, 0.000], [0.667, 0.333, 0.000]],
  "ef_ev_per_fu": 0.21,
  "spacegroup": "C2/m",
  "dos_at_fermi_per_ev_atom": 1.31,
  "crystal_system": "monoclinic"
}

{
  "formula": "Nd2Sm3PuAs6",
  "functional": "PBE",
  "state": "optimized geometry",
  "cell": [[4.224, 0.000, 0.000], [0.000, 8.436, 0.303], [-2.112, -2.428, 8.863]],
  "species": ["Nd", "Nd", "Sm", "Sm", "Sm", "Pu", "As", "As", "As", "As", "As", "As"],
  "fractional_positions": [[0.833, 0.666, 0.667], [0.167, 0.334, 0.333], [0.500, 0.500, 0.000], [0.832, 0.167, 0.665], [0.168, 0.833, 0.335], [0.500, 0.000, 0.000], [0.336, 0.920, 0.671], [0.666, 0.586, 0.332], [0.664, 0.080, 0.329], [0.999, 0.243, 0.998], [0.001, 0.757, 0.002], [0.334, 0.414, 0.668]],
  "ef_ev_per_fu": -17.14,
  "spacegroup": "C2/m",
  "dos_at_fermi_per_ev_atom": 1.31,
  "crystal_system": "monoclinic"
}

{
  "formula": "La4Ge6Rh7",
  "functional": "PBE",
  "state": "optimized geometry",
  "cell": [[-6.429, 2.581, -2.886], [-1.362, -6.213, 3.982], [3.012, 5.224, 4.467]],
  "species": ["La", "La", "La", "La", "Ge", "Ge", "Ge", "Ge", "Ge", "Ge", "Rh", "Rh", "Rh", "Rh", "Rh", "Rh", "Rh"],
  "fractional_positions": [[0.500, 0.000, 0.000], [0.500, 0.500, 0.500], [0.000, 0.500, 0.000], [0.000, 0.000, 0.500], [0.668, 0.000, 0.668], [0.668, 0.668, 0.000], [0.000, 0.332, 0.332], [0.332, 0.000, 0.332], [0.332, 0.332, 0.000], [0.000, 0.668, 0.668], [0.750, 0.500, 0.250], [0.250, 0.750, 0.500], [0.500, 0.750, 0.250], [0.750, 0.250, 0.500], [0.250, 0.500, 0.750], [0.500, 0.250, 0.750], [0.000, 0.000, 0.000]],
  "ef_ev_per_fu": -14.70,
  "spacegroup": "Im-3m",
  "dos_at_fermi_per_ev_atom": 0.55,
  "crystal_system": "cubic"
}

{
  "formula": "PmEuPAu",
  "functional": "PBE",
  "state": "optimized geometry",
  "cell": [[-3.881, 3.217, -1.076], [-4.484, -0.443, 2.503], [-1.402, 3.584, 3.429]],
  "species": ["Eu", "P", "Au", "Pm"],
  "fractional_positions": [[0.750, 0.750, 0.750], [0.500, 0.500, 0.500], [0.000, 0.000, 0.000], [0.250, 0.250, 0.250]],
  "ef_ev_per_fu": -3.44,
  "spacegroup": "F-43m",
  "dos_at_fermi_per_ev_atom": 0.91,
  "crystal_system": "cubic"
}

{
  "formula": "LaNb2TlW",
  "functional": "PBE",
  "state": "optimized geometry",
  "cell": [[4.956, 0.000, 0.000], [0.000, 5.401, 0.000], [0.000, 0.000, 4.956]],
  "species": ["Tl", "Nb", "Nb", "W", "La"],
  "fractional_positions": [[0.000, 0.500, 0.000], [0.000, 0.000, 0.500], [0.500, 0.000, 0.000], [0.000, 0.000, 0.000], [0.500, 0.500, 0.500]],
  "ef_ev_per_fu": 4.25,
  "spacegroup": "P4/mmm",
  "dos_at_fermi_per_ev_atom": 1.28,
  "crystal_system": "tetragonal"
}

{
  "formula": "NdGdCoPd",
  "functional": "PBE",
  "state": "optimized geometry",
  "cell": [[-2.530, -2.947, 3.089], [2.212, -1.840, 4.044], [-1.291, 1.646, 4.501]],
  "species": ["Co", "Gd", "Nd", "Pd"],
  "fractional_positions": [[0.500, 0.500, 0.500], [0.250, 0.250, 0.250], [0.750, 0.750, 0.750], [0.000, 0.000, 0.000]],
  "ef_ev_per_fu": -1.51,
  "spacegroup": "F-43m",
  "dos_at_fermi_per_ev_atom": 0.75,
  "crystal_system": "cubic"
}